Computed, not measured: PrMg3Al8 after structural relaxation at the PBE-GGA level of DFT.

The structure in extended XYZ format:
```
12
Lattice="-3.065 1.130 -4.492 -0.786 -4.745 2.777 -6.005 3.979 5.098" Properties=species:S:1:pos:R:3 pbc="T T T"
Al -4.546 -0.799 2.901
Al -7.953 1.762 0.758
Pr -3.392 2.247 2.879
Al -2.233 -0.382 1.427
Al -4.204 -2.232 0.550
Mg -5.661 3.751 4.806
Al -6.071 3.529 1.596
Al -6.455 1.210 2.953
Mg -2.683 -0.579 -1.749
Al -2.635 -2.810 2.849
Al -1.581 -2.764 0.384
Mg -4.871 0.871 0.109
```

Calculated values
- Crystal system: trigonal
- Formation enthalpy at 0 K: -1.8 eV per formula unit
- Energy: -3.438 eV per atom
- Space-group type: P3m1 (156)

---

Computed, not measured: ZnIn3Cl after structural relaxation at the PBE-GGA level of DFT.

The structure in extended XYZ format:
```
5
Lattice="5.289 0.000 0.000 0.000 5.289 0.000 0.000 0.000 5.289" Properties=species:S:1:pos:R:3 pbc="T T T"
Zn 0.000 0.000 0.000
In 0.000 2.644 0.000
In 2.644 0.000 0.000
Cl 2.644 2.644 2.644
In 0.000 0.000 2.644
```

Calculated values
- Crystal system: cubic
- Energy: -2.311 eV per atom
- ΔE_f (raw): -0.0436 eV per atom
- Space-group type: Pm-3m (221)

---

Computed, not measured: Cs3Pr2MgSe6 after structural relaxation at the PBE-GGA level of DFT.

The structure in extended XYZ format:
```
12
Lattice="-1.489 7.181 -1.714 -4.266 -5.518 -2.842 -3.178 -0.031 8.175" Properties=species:S:1:pos:R:3 pbc="T T T"
Mg 0.000 0.000 0.000
Pr -3.339 -1.278 -2.465
Pr -2.416 2.942 -2.090
Cs -4.467 0.816 1.810
Se -7.508 -0.763 2.927
Se -4.064 0.404 5.462
Se -1.426 2.396 0.692
Cs -3.548 5.019 2.183
Se -6.619 3.301 3.288
Se -2.315 -1.669 0.331
Cs -5.386 -3.387 1.436
Se -4.870 1.229 -1.843
```

Calculated values
- Crystal system: monoclinic
- Energy: -4.299 eV per atom
- ΔE_f (raw): -1.4140 eV per atom
- Space-group type: C2/m (12)

---

Computed, not measured: PmHo2N after structural relaxation at the PBE-GGA level of DFT.

The structure in extended XYZ format:
```
4
Lattice="-0.375 -3.346 -0.901 2.660 -1.722 -1.453 3.606 -4.215 7.412" Properties=species:S:1:pos:R:3 pbc="T T T"
Ho 1.187 -2.067 0.440
Ho 4.704 -7.216 4.617
N 0.000 0.000 0.000
Pm 2.946 -4.641 2.529
```

Calculated values
- Crystal system: trigonal
- Energy: -6.354 eV per atom
- ΔE_f (raw): -0.7964 eV per atom
- Space-group type: R-3m (166)

---

Computed, not measured: ErPa2Si after structural relaxation at the PBE-GGA level of DFT.

The structure in extended XYZ format:
```
4
Lattice="-2.859 -2.396 -3.159 2.446 -3.506 0.445 -2.484 -1.320 3.249" Properties=species:S:1:pos:R:3 pbc="T T T"
Pa 1.223 -1.753 0.223
Pa -1.242 -0.660 1.625
Si -1.449 -3.611 0.268
Er -1.430 -1.198 -1.580
```

Calculated values
- Crystal system: tetragonal
- Energy: -7.435 eV per atom
- ΔE_f (raw): -0.1907 eV per atom
- Space-group type: P4/mmm (123)

---

Computed, not measured: Cd2ReAs after structural relaxation at the PBE-GGA level of DFT.

The structure in extended XYZ format:
```
4
Lattice="-2.678 -0.772 -0.741 1.949 -2.062 0.515 -2.752 -0.096 10.038" Properties=species:S:1:pos:R:3 pbc="T T T"
Cd -1.344 -0.047 4.902
As -2.428 -1.489 7.415
Re -1.052 -1.441 2.396
Cd -0.032 -0.001 0.117
```

Calculated values
- Crystal system: orthorhombic
- Formation enthalpy at 0 K: 2.2 eV per formula unit
- Energy: -4.189 eV per atom
- Space-group type: Cmmm (65)

---

Computed, not measured: SmSc2Se after structural relaxation at the PBE-GGA level of DFT.

The structure in extended XYZ format:
```
4
Lattice="-3.342 0.552 -1.333 -2.344 -2.774 -0.243 -4.882 1.062 7.711" Properties=species:S:1:pos:R:3 pbc="T T T"
Sc -4.318 0.722 6.155
Sm -5.284 -0.580 3.066
Sc -2.459 -0.400 1.029
Se -3.792 -1.481 -1.047
```

Calculated values
- Crystal system: trigonal
- Energy: -5.938 eV per atom
- ΔE_f (raw): -0.7215 eV per atom
- Space-group type: R3m (160)

---

Computed, not measured: KCa2Ta after structural relaxation at the PBE-GGA level of DFT.

The structure in extended XYZ format:
```
4
Lattice="5.839 0.000 0.000 2.920 5.057 0.000 2.920 1.686 4.768" Properties=species:S:1:pos:R:3 pbc="T T T"
Ca 0.000 0.000 0.000
Ta 8.759 5.057 3.576
Ca 2.920 1.686 1.192
K 5.839 3.371 2.384
```

Calculated values
- Crystal system: cubic
- Formation enthalpy at 0 K: 4.6 eV per formula unit
- Energy: -3.091 eV per atom
- Space-group type: F-43m (216)